The following is a DFT calculation (GGA-PBE) of crystalline YGe2RuCl at its relaxed geometry.

a = 4.8764 Å, b = 4.5150 Å, c = 4.8764 Å
α = 90.00°, β = 90.00°, γ = 90.00°
Closest atoms and distances in Å follow each position.
Positions (direct):
1 Ru 0.0000 0.5000 0.0000  2 Cl 2.26
2 Ge 0.5000 0.0000 0.0000  2 Cl 2.44
3 Ge 0.0000 0.0000 0.5000  2 Cl 2.44
4 Y 0.5000 0.5000 0.5000  8 Ge 3.32, 4 Ru 3.45
5 Cl 0.0000 0.0000 0.0000  2 Ru 2.26, 4 Ge 2.44

Values from the calculation:
symmetry = P4/mmm, No. 123
ΔE_f (raw) = 2.3 eV per formula unit
magnetic moment = 0.0 μB/f.u.
E = -4.901 eV/atom

The following is a DFT calculation (GGA-PBE) of crystalline Ge2S2Cl at its relaxed geometry.

a = 4.6558 Å, b = 4.6558 Å, c = 6.1751 Å
α = 67.85°, β = 67.85°, γ = 90.00°
Closest atoms and distances in Å follow each position.
Positions (direct):
1 Ge 0.7500 0.2500 0.5000  4 S 2.51
2 Ge 0.2500 0.7500 0.5000  4 S 2.51
3 S 0.6592 0.6592 0.6815  4 Ge 2.51
4 S 0.3408 0.3408 0.3185  4 Ge 2.51
5 Cl 0.0000 0.0000 0.0000  8 Ge 3.50, 10 S 3.56-3.69

Values from the calculation:
symmetry = I4/mmm, No. 139
ΔE_f (raw) = -0.6 eV per formula unit
energy above the most stable polymorph in this dataset = 80 meV per atom
magnetic moment = 0.0 μB/f.u.
E = -3.991 eV/atom

The following is a DFT calculation (GGA-PBE) of crystalline Ge2S2Cl at its relaxed geometry.

a = 7.7869 Å, b = 7.7869 Å, c = 3.3270 Å
α = 90.00°, β = 90.00°, γ = 90.00°
Closest atoms and distances in Å follow each position.
Positions (direct):
1 Ge 0.1418 0.6418 0.5000  6 S 2.71-3.00
2 Ge 0.6418 0.8582 0.5000  6 S 2.71-3.00
3 Ge 0.3582 0.1418 0.5000  6 S 2.71-3.00
4 Ge 0.8582 0.3582 0.5000  6 S 2.71-3.00
5 S 0.6320 0.1320 0.0000  6 Ge 2.71-3.00, 1 S 2.91
6 S 0.1320 0.3680 0.0000  6 Ge 2.71-3.00, 1 S 2.91
7 S 0.8680 0.6320 0.0000  6 Ge 2.71-3.00, 1 S 2.91
8 S 0.3680 0.8680 0.0000  6 Ge 2.71-3.00, 1 S 2.91
9 Cl 0.0000 0.0000 0.0000  4 S 3.04, 2 Cl 3.33
10 Cl 0.5000 0.5000 0.0000  4 S 3.04, 2 Cl 3.33

Values from the calculation:
symmetry = P4/mbm, No. 127
ΔE_f (raw) = 0.5 eV per formula unit
energy above the most stable polymorph in this dataset = 306 meV per atom
magnetic moment = 0.0 μB/f.u.
E = -3.764 eV/atom